1.
Material: Pm2PaSn
Method: DFT, GGA-PBE
State: relaxed

Calculated values
D(E_F): 1.15 states/eV/atom
Energy of formation: -0.140 eV per atom
ΔE to the lowest computed polymorph: 63 meV/atom

Cell: 3.947 3.947 7.254 Å, 90.00 90.00 90.00°
Element x y z (fractional)
Pa: 0.500 0.500 0.500
Sn: 0.500 0.500 0.000
Pm: 0.000 0.000 0.769
Pm: 0.000 0.000 0.231

***

2.
Material: CdCuPtO6
Method: DFT, GGA-PBE
State: relaxed

Calculated values
D(E_F): 0.91 states/eV/atom
E_form (uncorrected): -0.36 eV/atom

Cell: 5.164 5.164 9.384 Å, 90.00 90.00 120.00°
Site moments in Bohr magnetons follow the coordinates.
Element x y z (fractional)
Cd: 0.000 0.000 0.000  0.00
Cd: 0.000 0.000 0.500  0.00
Cu: 0.667 0.333 0.250  0.01
Cu: 0.333 0.667 0.750  0.01
Pt: 0.333 0.667 0.250  0.11
Pt: 0.667 0.333 0.750  0.11
O: 0.635 0.630 0.137  0.05
O: 0.994 0.365 0.137  0.05
O: 0.365 0.994 0.637  0.05
O: 0.006 0.635 0.863  0.05
O: 0.370 0.365 0.363  0.05
O: 0.994 0.630 0.363  0.05
O: 0.630 0.994 0.863  0.05
O: 0.635 0.006 0.363  0.05
O: 0.006 0.370 0.637  0.05
O: 0.370 0.006 0.137  0.05
O: 0.630 0.635 0.637  0.05
O: 0.365 0.370 0.863  0.05

***

Ordered calculated total energy results: -5.890 -4.896; unit eV/atom.